Entry 1:
{
  "formula": "SrCd2Cl",
  "functional": "GGA-PBEsol",
  "state": "relaxed",
  "lattice": [[5.282, 0.000, 0.000], [2.641, 4.574, 0.000], [2.641, 1.525, 4.312]],
  "species": ["Cd", "Cd", "Sr", "Cl"],
  "fractional_positions": [[0.750, 0.750, 0.750], [0.000, 0.000, 0.000], [0.250, 0.250, 0.250], [0.500, 0.500, 0.500]],
  "formation_energy_uncorrected_mev_per_atom": -585,
  "space_group": "F-43m (216)"
}



Entry 2:
{
  "formula": "CsMn2SiPt",
  "functional": "GGA-PBEsol",
  "state": "relaxed",
  "lattice": [[4.762, 0.000, 0.000], [0.000, 4.762, 0.000], [0.000, 0.000, 5.189]],
  "species": ["Mn", "Mn", "Si", "Pt", "Cs"],
  "fractional_positions": [[0.500, 0.000, 0.000], [0.000, 0.500, 0.000], [0.000, 0.000, 0.500], [0.500, 0.500, 0.500], [0.000, 0.000, 0.000]],
  "formation_energy_uncorrected_mev_per_atom": 2655,
  "space_group": "P4/mmm (123)"
}



Entry 3:
{
  "formula": "Ir2SN",
  "functional": "GGA-PBEsol",
  "state": "relaxed",
  "lattice": [[-2.363, 0.666, 3.216], [1.108, -1.368, 3.643], [1.172, 2.602, 2.868]],
  "species": ["S", "Ir", "Ir", "N"],
  "fractional_positions": [[0.500, 0.500, 0.500], [0.250, 0.250, 0.250], [0.750, 0.750, 0.750], [0.000, 0.000, 0.000]],
  "formation_energy_uncorrected_mev_per_atom": 1044,
  "space_group": "Fm-3m (225)"
}



Entry 4:
{
  "formula": "Pt3Au4",
  "functional": "GGA-PBEsol",
  "state": "relaxed",
  "lattice": [[-1.881, -1.485, 2.368], [1.373, -2.977, -0.776], [7.476, 3.808, 5.930]],
  "species": ["Au", "Au", "Au", "Au", "Pt", "Pt", "Pt"],
  "fractional_positions": [[0.572, 0.572, 0.143], [0.856, 0.856, 0.712], [0.144, 0.144, 0.288], [0.428, 0.428, 0.857], [0.717, 0.717, 0.435], [0.283, 0.283, 0.565], [0.000, 0.000, 0.000]],
  "space_group": "I4/mmm (139)"
}



Calculated raw total energy in order - -2.146; -3.980; -7.096; -5.129 eV/atom
Calculated D(E_F) in order - 3.842; 3.437; 4.106; 5.985 states/eV per cell